(1)
Tm6CuHg2, relaxed, DFT PBE; density of states at the Fermi level = 19.00 states/eV per cell; SG = No. 14; calculated formation energy = -0.164 eV/atom
1.0
6.712 0.000 0.512
0.000 7.284 0.000
-0.076 0.000 10.068
Tm Hg Cu
12 4 2
Direct
0.685 0.175 0.950
0.315 0.825 0.050
0.650 0.191 0.552
0.139 0.014 0.753
0.861 0.986 0.247
0.185 0.325 0.450
0.150 0.309 0.052
0.850 0.691 0.948
0.350 0.809 0.448
0.815 0.675 0.550
0.361 0.514 0.747
0.639 0.486 0.253
0.564 0.890 0.758
0.436 0.110 0.242
0.936 0.390 0.742
0.064 0.610 0.258
0.000 0.000 0.500
0.500 0.500 0.000

---

(2)
FeCo2I, relaxed, DFT PBE; density of states at the Fermi level = 11.32 states/eV per cell; SG = No. 122; formation energy (no corrections) = 1.0874 eV per atom
1.0
4.992 0.000 0.000
0.000 4.992 0.000
2.496 2.496 5.887
Co Fe I
4 2 2
Direct
0.875 0.810 0.750
0.375 0.440 0.750
0.560 0.125 0.250
0.190 0.625 0.250
0.250 0.750 0.500
0.500 0.500 0.000
0.750 0.250 0.500
0.000 0.000 0.000

---

(3)
Pm3GaIr2, relaxed, DFT PBE; density of states at the Fermi level = 16.79 states/eV per cell; SG = No. 62; calculated formation energy = -0.665 eV/atom; distance to the lowest polymorph of the same formula = 0 meV/atom
1.0
4.012 0.000 0.000
0.000 12.143 0.000
0.000 0.000 12.039
Ir Pm Ga
8 12 4
Direct
0.750 0.310 0.511
0.750 0.987 0.690
0.750 0.190 0.011
0.250 0.810 0.989
0.250 0.013 0.310
0.250 0.690 0.489
0.250 0.487 0.810
0.750 0.513 0.190
0.250 0.680 0.198
0.750 0.570 0.630
0.750 0.320 0.802
0.250 0.430 0.370
0.750 0.622 0.944
0.750 0.930 0.130
0.250 0.820 0.698
0.250 0.122 0.556
0.750 0.180 0.302
0.250 0.378 0.056
0.250 0.070 0.870
0.750 0.878 0.444
0.250 0.129 0.122
0.250 0.371 0.622
0.750 0.629 0.378
0.750 0.871 0.878